First-principles (PBE+U) data for MnZnO3 after structural relaxation, as listed in Alexandria.

Properties
Total moment (μB/atom): 0.60
VASP energy (eV/atom): -6.058

Cell and atoms, written as CIF:
```
data_MnZnO3
_chemical_formula_sum 'Mn4 Zn4 O12'
_cell_length_a 9.5681
_cell_length_b 3.0022
_cell_length_c 8.2226
_cell_angle_alpha 90.00
_cell_angle_beta 90.00
_cell_angle_gamma 90.00
_symmetry_space_group_name_H-M 'P 1'
_symmetry_Int_Tables_number 1
_symmetry_space_group_name_Hall 'P 1'
loop_
_atom_site_label
_atom_site_type_symbol
_atom_site_fract_x
_atom_site_fract_y
_atom_site_fract_z
Mn1 Mn 0.0690 0.2500 0.1334
Mn2 Mn 0.4310 0.7500 0.6334
Mn3 Mn 0.5690 0.2500 0.3666
Mn4 Mn 0.9310 0.7500 0.8666
Zn1 Zn 0.1100 0.2500 0.5923
Zn2 Zn 0.3900 0.7500 0.0923
Zn3 Zn 0.6100 0.2500 0.9077
Zn4 Zn 0.8900 0.7500 0.4077
O1 O 0.0224 0.2500 0.3607
O2 O 0.0635 0.2500 0.8957
O3 O 0.1960 0.7500 0.1449
O4 O 0.3040 0.2500 0.6449
O5 O 0.4365 0.7500 0.3957
O6 O 0.4776 0.7500 0.8607
O7 O 0.5224 0.2500 0.1393
O8 O 0.5635 0.2500 0.6043
O9 O 0.6960 0.7500 0.3551
O10 O 0.8040 0.2500 0.8551
O11 O 0.9365 0.7500 0.1043
O12 O 0.9776 0.7500 0.6393
```